Record 1
ZrBTe2O | PBE | optimized geometry

Unit cell a=5.5020 b=5.5020 c=3.0337 alpha=90.00 beta=90.00 gamma=90.00
Last column: nearest neighbours and their distance in Å.
Space group P4/mmm (No. 123)
One atom of each set of equivalent atoms:
Zr (0.0000, 0.0000, 0.0000) (multiplicity 1)  2 Zr 3.03, 8 Te 3.14
B (0.5000, 0.5000, 0.5000) (multiplicity 1)  2 O 1.52
Te (0.0000, 0.5000, 0.5000) (multiplicity 2)  2 B 2.75, 2 Te 3.03
O (0.5000, 0.5000, 0.0000) (multiplicity 1)  2 B 1.52

formation energy without anion corrections = -0.176 eV per atom



Record 2
ZrBTe2O | PBE | optimized geometry

Unit cell a=5.7858 b=5.7858 c=3.9565 alpha=90.00 beta=90.00 gamma=90.00
Last column: nearest neighbours and their distance in Å.
Space group P4/mmm (No. 123)
One atom of each set of equivalent atoms:
Zr (0.0000, 0.0000, 0.0000) (multiplicity 1)  2 O 1.98
B (0.5000, 0.5000, 0.5000) (multiplicity 1)  8 Te 3.50
Te (0.0000, 0.5000, 0.0000) (multiplicity 2)  2 Zr 2.89
O (0.0000, 0.0000, 0.5000) (multiplicity 1)  2 Zr 1.98

formation energy without anion corrections = -0.014 eV per atom



What is the formula in the first record?
ZrBTe2O